# 1
CaAg2Ge GGA-PBE optimized geometry; space group = Pm (6); E_tot = -26.74 eV for the cell shown; formation enthalpy at 0 K = -0.262 eV per atom
1.0
5.733 0.000 0.000
0.000 4.452 0.000
-0.382 0.000 6.826
Ca Ag Ge
2 4 2
Cartesian
0.000 0.000 0.000
2.593 0.000 4.350
0.132 2.226 4.720
1.284 2.226 2.054
2.882 0.000 1.062
4.151 2.226 2.292
2.270 2.226 6.466
5.474 0.000 3.141


# 2
Ca2Ag2Ge3 GGA-PBE optimized geometry; space group = C2/m (12); E_tot = -51.31 eV for the cell shown; formation enthalpy at 0 K = -0.299 eV per atom
1.0
10.933 0.000 0.000
0.000 4.463 0.000
-2.780 0.000 6.264
Ca Ag Ge
4 4 6
Cartesian
0.858 0.000 1.706
1.828 2.231 4.558
6.325 2.231 1.706
7.295 0.000 4.558
-0.491 0.000 4.707
3.178 2.231 1.557
4.975 2.231 4.707
8.644 0.000 1.557
-1.390 2.231 3.132
-1.560 2.231 5.904
4.246 0.000 0.360
4.077 0.000 3.132
3.907 0.000 5.904
9.713 2.231 0.360


# 3
Ca2AgGeH GGA-PBE optimized geometry; space group = P4/mmm (123); E_tot = -16.87 eV for the cell shown
1.0
4.934 0.000 0.000
0.000 4.934 0.000
0.000 0.000 4.031
Ca Ag Ge H
2 1 1 1
Cartesian
0.000 2.467 0.000
2.467 0.000 0.000
0.000 0.000 2.015
2.467 2.467 2.015
0.000 0.000 0.000


Theoretical density for every record listed, in sequence, given in kg/m3: 6261 5584 4428.